No. 1
{
  "formula": "AcPm3Sm2N6",
  "functional": "GGA-PBE",
  "state": "relaxed",
  "lattice_angstrom": [[6.344, -0.001, 0.002], [-3.171, 5.494, 0.002], [-1.056, -1.829, 5.966]],
  "species": ["Pm", "Pm", "Pm", "Sm", "Sm", "N", "N", "N", "N", "N", "N", "Ac"],
  "frac_coords": [[0.170, 0.830, 0.500], [0.500, 0.500, 0.500], [0.830, 0.170, 0.500], [0.334, 0.666, 0.000], [0.666, 0.334, 0.000], [0.262, 0.262, 0.748], [0.085, 0.430, 0.254], [0.570, 0.915, 0.746], [0.738, 0.738, 0.252], [0.915, 0.570, 0.746], [0.430, 0.085, 0.254], [0.000, 0.000, 0.000]],
  "rho_g_cm3": 8.36,
  "volume_a3_per_cell": 207.96,
  "magmom_total_mub_per_fu": 0.0,
  "dos_ef_per_ev_atom": 0.028,
  "energy_ev_per_cell": -94.0,
  "sg": "C2/m, No. 12"
}

***

No. 2
{
  "formula": "Ac2PmSnN4",
  "functional": "GGA-PBE",
  "state": "relaxed",
  "lattice_angstrom": [[-2.543, -1.896, 2.082], [-1.809, -0.550, -6.168], [7.169, -10.860, -1.136]],
  "species": ["Pm", "Pm", "N", "N", "N", "N", "N", "N", "N", "N", "Ac", "Ac", "Ac", "Ac", "Sn", "Sn"],
  "frac_coords": [[0.888, 0.776, 0.250], [0.112, 0.224, 0.750], [0.437, 0.875, 0.750], [0.720, 0.440, 0.864], [0.280, 0.560, 0.364], [0.720, 0.440, 0.636], [0.000, 0.000, 0.500], [0.000, 0.000, 0.000], [0.280, 0.560, 0.136], [0.563, 0.125, 0.250], [0.370, 0.740, 0.959], [0.370, 0.740, 0.541], [0.630, 0.260, 0.041], [0.630, 0.260, 0.459], [0.157, 0.314, 0.250], [0.843, 0.686, 0.750]],
  "rho_g_cm3": 8.41,
  "volume_a3_per_cell": 305.57,
  "magmom_total_mub_per_fu": 0.0,
  "dos_ef_per_ev_atom": 0.119,
  "energy_ev_per_cell": -110.3,
  "sg": "Cmcm, No. 63"
}

***

No. 3
{
  "formula": "AcPm2SnN4",
  "functional": "GGA-PBE",
  "state": "relaxed",
  "lattice_angstrom": [[-1.859, -0.291, 3.225], [4.904, -4.120, 0.293], [7.121, 8.825, 4.901]],
  "species": ["N", "N", "N", "N", "N", "N", "N", "N", "Pm", "Pm", "Pm", "Pm", "Ac", "Ac", "Sn", "Sn"],
  "frac_coords": [[0.568, 0.136, 0.250], [0.727, 0.455, 0.623], [0.432, 0.864, 0.750], [0.727, 0.455, 0.877], [0.273, 0.545, 0.377], [0.000, 0.000, 0.500], [0.000, 0.000, 0.000], [0.273, 0.545, 0.123], [0.629, 0.257, 0.461], [0.629, 0.257, 0.039], [0.371, 0.743, 0.539], [0.371, 0.743, 0.961], [0.106, 0.211, 0.750], [0.894, 0.789, 0.250], [0.842, 0.683, 0.750], [0.158, 0.317, 0.250]],
  "rho_g_cm3": 8.12,
  "volume_a3_per_cell": 282.93,
  "magmom_total_mub_per_fu": 0.0,
  "dos_ef_per_ev_atom": 0.155,
  "energy_ev_per_cell": -114.9,
  "sg": "Cmcm, No. 63"
}

***

No. 4
{
  "formula": "AcPmTaN4",
  "functional": "GGA-PBE",
  "state": "relaxed",
  "lattice_angstrom": [[-4.380, -2.889, -2.473], [2.776, 0.134, -5.073], [5.047, -4.101, 2.654]],
  "species": ["N", "N", "N", "N", "N", "N", "N", "N", "Ac", "Ac", "Ta", "Ta", "Pm", "Pm"],
  "frac_coords": [[0.000, 0.000, 0.500], [0.000, 0.500, 0.500], [0.500, 0.500, 0.500], [0.412, 0.750, 0.823], [0.921, 0.250, 0.842], [0.588, 0.250, 0.177], [0.079, 0.750, 0.158], [0.500, 0.000, 0.500], [0.604, 0.750, 0.208], [0.396, 0.250, 0.792], [0.244, 0.750, 0.488], [0.756, 0.250, 0.512], [0.892, 0.750, 0.783], [0.108, 0.250, 0.217]],
  "rho_g_cm3": 9.42,
  "volume_a3_per_cell": 214.62,
  "magmom_total_mub_per_fu": 0.0,
  "dos_ef_per_ev_atom": 0.805,
  "energy_ev_per_cell": -123.6,
  "sg": "Cmcm, No. 63"
}

***

No. 5
{
  "formula": "Ac2Pm3TaN6",
  "functional": "GGA-PBE",
  "state": "relaxed",
  "lattice_angstrom": [[-4.550, -1.873, -4.013], [4.028, -4.218, 2.508], [-3.422, 1.207, 4.936]],
  "species": ["N", "N", "N", "N", "N", "N", "Pm", "Pm", "Pm", "Ac", "Ac", "Ta"],
  "frac_coords": [[0.923, 0.644, 0.773], [0.356, 0.077, 0.227], [0.211, 0.211, 0.760], [0.077, 0.356, 0.227], [0.644, 0.923, 0.773], [0.789, 0.789, 0.240], [0.500, 0.500, 0.500], [0.156, 0.844, 0.500], [0.844, 0.156, 0.500], [0.332, 0.668, 0.000], [0.668, 0.332, 0.000], [0.000, 0.000, 0.000]],
  "rho_g_cm3": 9.57,
  "volume_a3_per_cell": 200.26,
  "magmom_total_mub_per_fu": 0.0,
  "dos_ef_per_ev_atom": 0.182,
  "energy_ev_per_cell": -98.5,
  "sg": "C2/m, No. 12"
}

***

No. 6
{
  "formula": "AcPmTaN3",
  "functional": "GGA-PBE",
  "state": "relaxed",
  "lattice_angstrom": [[-2.181, 1.736, 2.352], [-6.534, -2.494, -4.217], [0.468, -6.081, 4.923]],
  "species": ["N", "N", "N", "N", "N", "N", "Ta", "Ta", "Ac", "Ac", "Pm", "Pm"],
  "frac_coords": [[0.250, 0.604, 0.873], [0.750, 0.882, 0.154], [0.750, 0.396, 0.127], [0.750, 0.157, 0.495], [0.250, 0.843, 0.505], [0.250, 0.118, 0.846], [0.250, 0.108, 0.599], [0.750, 0.892, 0.401], [0.750, 0.820, 0.826], [0.250, 0.180, 0.174], [0.250, 0.612, 0.170], [0.750, 0.388, 0.830]],
  "rho_g_cm3": 8.54,
  "volume_a3_per_cell": 231.31,
  "magmom_total_mub_per_fu": 0.2,
  "dos_ef_per_ev_atom": 0.329,
  "energy_ev_per_cell": -103.5,
  "sg": "P2_1/m, No. 11"
}

***

No. 7
{
  "formula": "Ac2PmTcN4",
  "functional": "GGA-PBE",
  "state": "relaxed",
  "lattice_angstrom": [[-0.791, -2.292, -2.661], [4.716, -2.944, 3.570], [-8.941, -5.428, 7.333]],
  "species": ["N", "N", "N", "N", "N", "N", "N", "N", "Tc", "Tc", "Ac", "Ac", "Ac", "Ac", "Pm", "Pm"],
  "frac_coords": [[0.589, 0.178, 0.250], [0.724, 0.448, 0.855], [0.276, 0.552, 0.145], [0.000, 0.000, 0.000], [0.276, 0.552, 0.355], [0.000, 0.000, 0.500], [0.724, 0.448, 0.645], [0.411, 0.822, 0.750], [0.846, 0.692, 0.750], [0.154, 0.308, 0.250], [0.368, 0.735, 0.960], [0.368, 0.735, 0.540], [0.632, 0.265, 0.460], [0.632, 0.265, 0.040], [0.867, 0.735, 0.250], [0.133, 0.265, 0.750]],
  "rho_g_cm3": 8.55,
  "volume_a3_per_cell": 292.35,
  "magmom_total_mub_per_fu": 0.0,
  "dos_ef_per_ev_atom": 0.369,
  "energy_ev_per_cell": -124.7,
  "sg": "Cmcm, No. 63"
}

***

No. 8
{
  "formula": "AcPm2TcN4",
  "functional": "GGA-PBE",
  "state": "relaxed",
  "lattice_angstrom": [[-1.889, 2.016, 2.294], [2.056, -5.042, 3.313], [9.989, 6.008, 2.945]],
  "species": ["Pm", "Pm", "Pm", "Pm", "Ac", "Ac", "N", "N", "N", "N", "N", "N", "N", "N", "Tc", "Tc"],
  "frac_coords": [[0.632, 0.264, 0.041], [0.368, 0.736, 0.959], [0.368, 0.736, 0.541], [0.632, 0.264, 0.459], [0.112, 0.224, 0.750], [0.888, 0.776, 0.250], [0.421, 0.842, 0.750], [0.579, 0.158, 0.250], [0.265, 0.531, 0.371], [0.735, 0.469, 0.629], [0.000, 0.000, 0.000], [0.000, 0.000, 0.500], [0.265, 0.531, 0.129], [0.735, 0.469, 0.871], [0.153, 0.306, 0.250], [0.847, 0.694, 0.750]],
  "rho_g_cm3": 8.44,
  "volume_a3_per_cell": 264.04,
  "magmom_total_mub_per_fu": 0.0,
  "dos_ef_per_ev_atom": 0.365,
  "energy_ev_per_cell": -129.7,
  "sg": "Cmcm, No. 63"
}

***

No. 9
{
  "formula": "Ac2PmTe2N2",
  "functional": "GGA-PBE",
  "state": "relaxed",
  "lattice_angstrom": [[4.634, 0.000, 0.000], [0.000, 4.634, 0.000], [-2.317, -2.317, 8.540]],
  "species": ["Pm", "Te", "Te", "N", "N", "Ac", "Ac"],
  "frac_coords": [[0.000, 0.000, 0.000], [0.184, 0.184, 0.369], [0.816, 0.816, 0.631], [0.000, 0.500, 0.000], [0.500, 0.000, 0.000], [0.607, 0.607, 0.214], [0.393, 0.393, 0.786]],
  "rho_g_cm3": 7.99,
  "volume_a3_per_cell": 183.35,
  "magmom_total_mub_per_fu": 0.0,
  "dos_ef_per_ev_atom": 0.568,
  "energy_ev_per_cell": -44.5,
  "sg": "I4/mmm, No. 139"
}

***

No. 10
{
  "formula": "Ac4Pm2Te3N2",
  "functional": "GGA-PBE",
  "state": "relaxed",
  "lattice_angstrom": [[4.952, 0.000, 0.000], [0.000, 4.952, 0.000], [-2.476, -2.476, 13.716]],
  "species": ["Te", "Te", "Te", "Ac", "Ac", "Ac", "Ac", "N", "N", "Pm", "Pm"],
  "frac_coords": [[0.182, 0.182, 0.363], [0.818, 0.818, 0.637], [0.000, 0.000, 0.000], [0.914, 0.414, 0.827], [0.086, 0.586, 0.173], [0.414, 0.914, 0.827], [0.586, 0.086, 0.173], [0.386, 0.386, 0.773], [0.614, 0.614, 0.227], [0.303, 0.303, 0.607], [0.697, 0.697, 0.393]],
  "rho_g_cm3": 7.94,
  "volume_a3_per_cell": 336.30,
  "magmom_total_mub_per_fu": 0.0,
  "dos_ef_per_ev_atom": 0.584,
  "energy_ev_per_cell": -63.4,
  "sg": "I4/mmm, No. 139"
}

***

No. 11
{
  "formula": "Ac2PmThN4",
  "functional": "GGA-PBE",
  "state": "relaxed",
  "lattice_angstrom": [[-1.268, 3.382, 1.037], [-6.030, -2.502, 0.788], [-0.648, -2.111, 6.093]],
  "species": ["N", "N", "N", "N", "Pm", "Ac", "Ac", "Th"],
  "frac_coords": [[0.000, 0.727, 0.750], [0.000, 0.273, 0.250], [0.500, 0.722, 0.265], [0.500, 0.278, 0.735], [0.500, 0.500, 0.000], [0.000, 0.000, 0.000], [0.500, 0.000, 0.500], [0.000, 0.500, 0.500]],
  "rho_g_cm3": 9.74,
  "volume_a3_per_cell": 151.28,
  "magmom_total_mub_per_fu": 0.0,
  "dos_ef_per_ev_atom": 0.286,
  "energy_ev_per_cell": -64.2,
  "sg": "P2/m, No. 10"
}

***

No. 12
{
  "formula": "AcPmThN3",
  "functional": "GGA-PBE",
  "state": "relaxed",
  "lattice_angstrom": [[-1.422, 2.678, -1.898], [-3.513, -4.894, -4.272], [-8.328, -0.485, 5.554]],
  "species": ["Th", "Th", "Ac", "Ac", "N", "N", "N", "N", "N", "N", "Pm", "Pm"],
  "frac_coords": [[0.750, 0.393, 0.869], [0.250, 0.607, 0.131], [0.250, 0.101, 0.159], [0.750, 0.899, 0.841], [0.750, 0.382, 0.097], [0.750, 0.832, 0.113], [0.250, 0.618, 0.903], [0.750, 0.096, 0.388], [0.250, 0.168, 0.887], [0.250, 0.904, 0.612], [0.250, 0.198, 0.507], [0.750, 0.802, 0.493]],
  "rho_g_cm3": 8.15,
  "volume_a3_per_cell": 263.23,
  "magmom_total_mub_per_fu": 0.0,
  "dos_ef_per_ev_atom": 0.275,
  "energy_ev_per_cell": -96.8,
  "sg": "P2_1/m, No. 11"
}

***

> What is the formula in the seventh record?

Ac2PmTcN4